1.
Material: AcYSe2O
Method: DFT, GGA-PBE
State: relaxed

Structure (POSCAR):
```
AcYSe2O
1.0
4.175 0.000 0.000
0.000 4.175 0.000
0.000 0.000 14.760
Ac Y Se O
2 2 4 2
direct
0.250 0.250 0.089
0.750 0.750 0.911
0.250 0.250 0.617
0.750 0.750 0.383
0.250 0.250 0.410
0.250 0.250 0.795
0.750 0.750 0.205
0.750 0.750 0.590
0.250 0.750 0.000
0.750 0.250 0.000
```

Total moment = 0.000 μB per formula unit
Mass density = 6.322 g/cm3
Total DFT energy (no corrections) = -6.94 eV/atom

***

2.
Material: Ac2YSe2O2
Method: DFT, GGA-PBE
State: relaxed

Structure (POSCAR):
```
Ac2YSe2O2
1.0
-2.218 2.218 8.094
2.218 -2.218 8.094
2.218 2.218 -8.094
Ac Y Se O
2 1 2 2
direct
0.128 0.128 0.000
0.872 0.872 0.000
0.500 0.500 0.000
0.323 0.323 0.000
0.677 0.677 0.000
0.000 0.500 0.500
0.500 0.000 0.500
```

Total moment = 0.000 μB per formula unit
Mass density = 7.642 g/cm3
Total DFT energy (no corrections) = -7.02 eV/atom

***

3.
Material: AcY2SeO8
Method: DFT, GGA-PBE
State: relaxed

Structure (POSCAR):
```
AcY2SeO8
1.0
4.564 0.000 0.000
0.228 5.121 0.000
2.160 -0.041 6.436
Ac Y Se O
1 2 1 8
direct
0.000 0.000 0.000
0.360 0.513 0.294
0.640 0.487 0.706
0.500 0.000 0.500
0.214 0.261 0.612
0.238 0.750 0.618
0.240 0.501 0.003
0.403 0.993 0.250
0.597 0.007 0.750
0.760 0.499 0.997
0.762 0.250 0.382
0.786 0.739 0.388
```

Total moment = 0.212 μB per formula unit
Mass density = 6.754 g/cm3
Total DFT energy (no corrections) = -7.35 eV/atom

***

4.
Material: AcYSe2O8
Method: DFT, GGA-PBE
State: relaxed

Structure (POSCAR):
```
AcYSe2O8
1.0
5.882 0.000 0.000
-2.941 5.094 0.000
0.000 0.000 7.374
Ac Y Se O
1 1 2 8
direct
0.000 0.000 0.000
0.000 0.000 0.500
0.333 0.667 0.761
0.667 0.333 0.239
0.155 0.313 0.719
0.158 0.845 0.719
0.313 0.158 0.281
0.333 0.667 0.989
0.667 0.333 0.011
0.687 0.842 0.719
0.842 0.155 0.281
0.845 0.687 0.281
```

Total moment = 1.289 μB per formula unit
Mass density = 4.522 g/cm3
Total DFT energy (no corrections) = -6.50 eV/atom

***

5.
Material: Ac2ZnSe2O2
Method: DFT, GGA-PBE
State: relaxed

Structure (POSCAR):
```
Ac2ZnSe2O2
1.0
-2.127 2.127 7.892
2.127 -2.127 7.892
2.127 2.127 -7.892
Ac Zn Se O
2 1 2 2
direct
0.114 0.114 0.000
0.886 0.886 0.000
0.500 0.500 0.000
0.324 0.324 0.000
0.676 0.676 0.000
0.000 0.500 0.500
0.500 0.000 0.500
```

Total moment = 0.000 μB per formula unit
Mass density = 8.244 g/cm3
Total DFT energy (no corrections) = -5.96 eV/atom

***

6.
Material: AcZnSeO5
Method: DFT, GGA-PBE
State: relaxed

Structure (POSCAR):
```
AcZnSeO5
1.0
4.491 -4.423 0.000
4.491 4.423 0.000
-4.454 0.000 7.665
Ac Zn Se O
2 2 2 10
direct
0.000 0.500 0.000
0.500 0.000 0.500
0.069 0.931 0.750
0.931 0.069 0.250
0.389 0.611 0.750
0.611 0.389 0.250
0.139 0.861 0.250
0.165 0.672 0.832
0.285 0.344 0.561
0.328 0.835 0.668
0.344 0.285 0.061
0.656 0.715 0.939
0.672 0.165 0.332
0.715 0.656 0.439
0.835 0.328 0.168
0.861 0.139 0.750
```

Total moment = 1.000 μB per formula unit
Mass density = 4.923 g/cm3
Total DFT energy (no corrections) = -5.76 eV/atom

***

7.
Material: AcZn3Se4O12
Method: DFT, GGA-PBE
State: relaxed

Structure (POSCAR):
```
AcZn3Se4O12
1.0
5.470 3.158 2.703
-5.470 3.158 2.703
0.000 -6.317 2.703
Ac Zn Se O
1 3 4 12
direct
0.000 0.000 0.000
0.000 0.569 0.431
0.431 0.000 0.569
0.569 0.431 0.000
0.111 0.500 0.889
0.500 0.500 0.500
0.500 0.889 0.111
0.889 0.111 0.500
0.004 0.259 0.340
0.045 0.955 0.500
0.259 0.340 0.004
0.327 0.673 0.500
0.340 0.004 0.259
0.500 0.045 0.955
0.500 0.327 0.673
0.660 0.741 0.996
0.673 0.500 0.327
0.741 0.996 0.660
0.955 0.500 0.045
0.996 0.660 0.741
```

Total moment = 0.000 μB per formula unit
Mass density = 5.518 g/cm3
Total DFT energy (no corrections) = -5.05 eV/atom

***

8.
Material: AcZrSe2O
Method: DFT, GGA-PBE
State: relaxed

Structure (POSCAR):
```
AcZrSe2O
1.0
4.041 0.000 0.000
0.000 4.041 0.000
0.000 0.000 14.221
Ac Zr Se O
2 2 4 2
direct
0.250 0.250 0.096
0.750 0.750 0.904
0.250 0.250 0.596
0.750 0.750 0.404
0.250 0.250 0.399
0.250 0.250 0.778
0.750 0.750 0.222
0.750 0.750 0.601
0.250 0.750 0.000
0.750 0.250 0.000
```

Total moment = 0.000 μB per formula unit
Mass density = 7.039 g/cm3
Total DFT energy (no corrections) = -7.01 eV/atom

***

9.
Material: Ac3Si5O12
Method: DFT, GGA-PBE
State: relaxed

Structure (POSCAR):
```
Ac3Si5O12
1.0
-6.551 6.551 6.551
6.551 -6.551 6.551
6.551 6.551 -6.551
Ac Si O
12 20 48
direct
0.125 0.250 0.375
0.125 0.375 0.750
0.250 0.375 0.125
0.250 0.875 0.625
0.375 0.125 0.250
0.375 0.750 0.125
0.625 0.250 0.875
0.625 0.875 0.750
0.750 0.125 0.375
0.750 0.625 0.875
0.875 0.625 0.250
0.875 0.750 0.625
0.000 0.000 0.000
0.000 0.000 0.500
0.000 0.500 0.000
0.000 0.500 0.500
0.125 0.750 0.875
0.125 0.875 0.250
0.250 0.125 0.875
0.250 0.625 0.375
0.375 0.250 0.625
0.375 0.625 0.750
0.500 0.000 0.000
0.500 0.000 0.500
0.500 0.500 0.000
0.500 0.500 0.500
0.625 0.375 0.250
0.625 0.750 0.375
0.750 0.375 0.625
0.750 0.875 0.125
0.875 0.125 0.750
0.875 0.250 0.125
0.006 0.216 0.119
0.006 0.289 0.887
0.098 0.716 0.711
0.098 0.881 0.387
0.113 0.619 0.402
0.113 0.994 0.711
0.119 0.006 0.216
0.119 0.613 0.902
0.211 0.216 0.598
0.211 0.494 0.613
0.216 0.119 0.006
0.216 0.598 0.211
0.284 0.289 0.902
0.284 0.494 0.381
0.289 0.887 0.006
0.289 0.902 0.284
0.381 0.284 0.494
0.381 0.598 0.887
0.387 0.098 0.881
0.387 0.789 0.506
0.402 0.113 0.619
0.402 0.789 0.784
0.494 0.381 0.284
0.494 0.613 0.211
0.506 0.387 0.789
0.506 0.619 0.716
0.598 0.211 0.216
0.598 0.887 0.381
0.613 0.211 0.494
0.613 0.902 0.119
0.619 0.402 0.113
0.619 0.716 0.506
0.711 0.098 0.716
0.711 0.113 0.994
0.716 0.506 0.619
0.716 0.711 0.098
0.784 0.402 0.789
0.784 0.881 0.994
0.789 0.506 0.387
0.789 0.784 0.402
0.881 0.387 0.098
0.881 0.994 0.784
0.887 0.006 0.289
0.887 0.381 0.598
0.902 0.119 0.613
0.902 0.284 0.289
0.994 0.711 0.113
0.994 0.784 0.881
```

Total moment = 1.007 μB per formula unit
Mass density = 5.985 g/cm3
Total DFT energy (no corrections) = -7.46 eV/atom

***

10.
Material: AcSiO2
Method: DFT, GGA-PBE
State: relaxed

Structure (POSCAR):
```
AcSiO2
1.0
1.578 0.911 7.274
-1.578 0.911 7.274
0.000 -1.822 7.274
Ac Si O
1 1 2
direct
0.000 0.000 0.000
0.500 0.500 0.500
0.128 0.128 0.128
0.872 0.872 0.872
```

Total moment = 0.000 μB per formula unit
Mass density = 7.598 g/cm3
Total DFT energy (no corrections) = -5.90 eV/atom

***

11.
Material: Ac3SiO6
Method: DFT, GGA-PBE
State: relaxed

Structure (POSCAR):
```
Ac3SiO6
1.0
4.868 -5.993 0.000
4.868 5.993 0.000
0.000 0.000 5.969
Ac Si O
6 2 12
direct
0.108 0.892 0.500
0.199 0.413 0.526
0.413 0.199 0.026
0.587 0.801 0.526
0.801 0.587 0.026
0.892 0.108 0.000
0.310 0.690 0.074
0.690 0.310 0.574
0.113 0.613 0.195
0.147 0.166 0.268
0.166 0.147 0.768
0.288 0.712 0.800
0.387 0.887 0.195
0.444 0.556 0.149
0.556 0.444 0.649
0.613 0.113 0.695
0.712 0.288 0.300
0.834 0.853 0.268
0.853 0.834 0.768
0.887 0.387 0.695
```

Total moment = 0.747 μB per formula unit
Mass density = 7.676 g/cm3
Total DFT energy (no corrections) = -7.84 eV/atom

***

12.
Material: Ac4Si2O
Method: DFT, GGA-PBE
State: relaxed

Structure (POSCAR):
```
Ac4Si2O
1.0
-2.492 2.492 8.538
2.492 -2.492 8.538
2.492 2.492 -8.538
Ac Si O
4 2 1
direct
0.000 0.500 0.500
0.182 0.182 0.000
0.500 0.000 0.500
0.818 0.818 0.000
0.367 0.367 0.000
0.633 0.633 0.000
0.000 0.000 0.000
```

Total moment = 0.684 μB per formula unit
Mass density = 7.673 g/cm3
Total DFT energy (no corrections) = -5.62 eV/atom

***

13.
Material: Ac7Si4O
Method: DFT, GGA-PBE
State: relaxed

Structure (POSCAR):
```
Ac7Si4O
1.0
8.258 -2.649 0.000
8.258 2.649 0.000
-6.939 0.000 8.922
Ac Si O
7 4 1
direct
0.000 0.000 0.000
0.138 0.138 0.544
0.292 0.292 0.145
0.425 0.425 0.735
0.575 0.575 0.265
0.708 0.708 0.855
0.862 0.862 0.456
0.079 0.079 0.790
0.222 0.222 0.343
0.778 0.778 0.657
0.921 0.921 0.210
0.500 0.500 0.000
```

Total moment = 0.000 μB per formula unit
Mass density = 7.305 g/cm3
Total DFT energy (no corrections) = -5.36 eV/atom

***

14.
Material: Ac3Si2O8
Method: DFT, GGA-PBE
State: relaxed

Structure (POSCAR):
```
Ac3Si2O8
1.0
2.791 1.611 6.889
-2.791 1.611 6.889
0.000 -3.222 6.889
Ac Si O
3 2 8
direct
0.000 0.000 0.000
0.207 0.207 0.207
0.793 0.793 0.793
0.406 0.406 0.406
0.594 0.594 0.594
0.244 0.729 0.729
0.271 0.271 0.756
0.271 0.756 0.271
0.326 0.326 0.326
0.674 0.674 0.674
0.729 0.244 0.729
0.729 0.729 0.244
0.756 0.271 0.271
```

Total moment = 0.933 μB per formula unit
Mass density = 7.731 g/cm3
Total DFT energy (no corrections) = -7.90 eV/atom

***

15.
Material: AcSiO
Method: DFT, GGA-PBE
State: relaxed

Structure (POSCAR):
```
AcSiO
1.0
2.162 -7.622 0.000
2.162 7.622 0.000
0.000 0.000 4.078
Ac Si O
2 2 2
direct
0.165 0.835 0.750
0.835 0.165 0.250
0.461 0.539 0.750
0.539 0.461 0.250
0.254 0.746 0.250
0.746 0.254 0.750
```

Total moment = 0.000 μB per formula unit
Mass density = 6.698 g/cm3
Total DFT energy (no corrections) = -6.80 eV/atom

***

16.
Material: AcSiO
Method: DFT, GGA-PBE
State: relaxed

Structure (POSCAR):
```
AcSiO
1.0
2.051 1.184 8.842
-2.051 1.184 8.842
0.000 -2.368 8.842
Ac Si O
2 2 2
direct
0.105 0.105 0.105
0.895 0.895 0.895
0.349 0.349 0.349
0.651 0.651 0.651
0.201 0.201 0.201
0.799 0.799 0.799
```

Total moment = 0.000 μB per formula unit
Mass density = 6.991 g/cm3
Total DFT energy (no corrections) = -6.87 eV/atom

***

17.
Material: Ac3Si2O
Method: DFT, GGA-PBE
State: relaxed

Structure (POSCAR):
```
Ac3Si2O
1.0
-2.142 2.460 8.575
2.142 -2.460 8.575
2.142 2.460 -8.575
Ac Si O
3 2 1
direct
0.000 0.000 0.000
0.340 0.840 0.500
0.660 0.160 0.500
0.149 0.649 0.500
0.851 0.351 0.500
0.500 0.000 0.500
```

Total moment = 0.000 μB per formula unit
Mass density = 6.922 g/cm3
Total DFT energy (no corrections) = -5.77 eV/atom